No. 1
## KAgN2 (PBE-GGA)

Data for KAgN2 after structural relaxation.

**Theoretical density**: 3.2 g/cm3
**VASP energy**: -5.137 eV/atom
**Space group**: No. 2
**DOS at the Fermi energy**: 2.28 states/eV/f.u.
**Excess energy over the best structure of this formula in the dataset**: 0.00 kJ per mole of atoms
**Energy relative to the elements, uncorrected**: 1.20 kJ/mol of atoms

```
8
Lattice="-1.241 2.343 -2.403 -1.719 -3.374 -2.402 -10.404 1.953 4.613" Properties=species:S:1:pos:R:3 pbc="T T T"
N -11.771 0.681 0.070
N -2.870 -2.269 -2.052
K -9.202 0.655 1.384
Ag -5.822 2.148 1.105
N -1.592 0.242 -0.263
N -10.493 3.193 1.859
Ag -6.061 -0.710 1.105
K -4.161 0.268 -1.576
```

No. 2
## K5AgN2O2 (PBE-GGA)

Data for K5AgN2O2 after structural relaxation.

**Theoretical density**: 2.4 g/cm3
**VASP energy**: -3.495 eV/atom
**Space group**: No. 4
**Energy relative to the elements, uncorrected**: -0.42 kJ/mol of atoms

```
20
Lattice="14.124 0.000 0.000 0.000 5.290 -0.002 0.000 0.002 6.869" Properties=species:S:1:pos:R:3 pbc="T T T"
K 10.174 2.427 2.775
K 11.020 2.878 6.215
O 1.627 2.647 6.384
K 3.958 2.414 0.652
K 7.062 3.058 5.148
Ag 7.064 2.634 1.714
K 3.112 2.865 4.092
O 5.439 2.637 2.945
O 8.689 2.645 0.483
K 1.809 5.277 6.550
O 12.501 2.655 3.922
N 9.413 4.972 4.219
N 4.703 4.953 6.075
K 0.000 2.234 1.719
N 11.765 0.339 0.792
K 8.871 0.015 0.317
Ag 0.002 2.658 5.153
K 5.251 0.007 3.112
K 12.313 5.285 3.755
N 2.350 0.320 2.648
```

No. 3
## KAgN2O (PBE-GGA)

Data for KAgN2O after structural relaxation.

**Theoretical density**: 3.9 g/cm3
**VASP energy**: -3.850 eV/atom
**Space group**: No. 123
**DOS at the Fermi energy**: 4.18 states/eV/f.u.
**Energy relative to the elements, uncorrected**: 121.68 kJ/mol of atoms

```
5
Lattice="-3.474 -1.857 1.604 1.453 -3.797 -1.248 2.068 -0.493 3.908" Properties=species:S:1:pos:R:3 pbc="T T T"
O 1.034 -0.246 1.954
N -1.737 -0.928 0.802
N 0.727 -1.899 -0.624
K 0.024 -3.073 2.132
Ag 0.000 0.000 0.000
```

No. 4
## KAgNO2 (PBE-GGA)

Data for KAgNO2 after structural relaxation.

**Theoretical density**: 4.2 g/cm3
**VASP energy**: -3.858 eV/atom
**Space group**: No. 123
**DOS at the Fermi energy**: 3.37 states/eV/f.u.
**Energy relative to the elements, uncorrected**: 55.96 kJ/mol of atoms

```
5
Lattice="4.293 0.000 0.000 0.000 4.293 0.000 0.000 0.000 4.169" Properties=species:S:1:pos:R:3 pbc="T T T"
O 2.147 0.000 0.000
K 2.147 2.147 2.085
Ag 0.000 0.000 0.000
O 0.000 2.147 0.000
N 0.000 0.000 2.085
```

No. 5
## KAgNO2 (PBE-GGA)

Data for KAgNO2 after structural relaxation.

**Theoretical density**: 2.8 g/cm3
**VASP energy**: -2.886 eV/atom
**Space group**: No. 123
**DOS at the Fermi energy**: 3.38 states/eV/f.u.
**Energy relative to the elements, uncorrected**: 149.75 kJ/mol of atoms

```
5
Lattice="4.779 0.000 0.000 0.000 4.779 0.000 0.000 0.000 5.038" Properties=species:S:1:pos:R:3 pbc="T T T"
N 0.000 0.000 2.519
O 0.000 2.390 0.000
O 2.390 0.000 0.000
K 0.000 0.000 0.000
Ag 2.390 2.390 2.519
```

No. 6
## KAgN2O (PBE-GGA)

Data for KAgN2O after structural relaxation.

**Theoretical density**: 2.6 g/cm3
**VASP energy**: -2.907 eV/atom
**Space group**: No. 123
**DOS at the Fermi energy**: 3.02 states/eV/f.u.
**Energy relative to the elements, uncorrected**: 212.75 kJ/mol of atoms

```
5
Lattice="5.076 0.000 0.000 0.000 5.076 0.000 0.000 0.000 4.713" Properties=species:S:1:pos:R:3 pbc="T T T"
K 0.000 0.000 0.000
N 2.538 0.000 0.000
O 0.000 0.000 2.356
Ag 2.538 2.538 2.356
N 0.000 2.538 0.000
```

No. 7
## K2AgRhN (PBE-GGA)

Data for K2AgRhN after structural relaxation.

**Theoretical density**: 3.8 g/cm3
**VASP energy**: -4.025 eV/atom
**Space group**: No. 123
**DOS at the Fermi energy**: 1.10 states/eV/f.u.
**Energy relative to the elements, uncorrected**: 11.52 kJ/mol of atoms

```
5
Lattice="-2.231 2.140 -5.129 -5.513 -0.155 2.334 0.433 3.457 1.254" Properties=species:S:1:pos:R:3 pbc="T T T"
K -2.757 -0.078 1.167
Ag -3.656 2.721 -0.771
K -1.116 1.070 -2.564
Rh 0.217 1.728 0.627
N 0.000 0.000 0.000
```

No. 8
## KAgRuN2 (PBE-GGA)

Data for KAgRuN2 after structural relaxation.

**Theoretical density**: 4.8 g/cm3
**VASP energy**: -2.704 eV/atom
**Space group**: No. 123
**DOS at the Fermi energy**: 9.14 states/eV/f.u.
**Energy relative to the elements, uncorrected**: 315.57 kJ/mol of atoms

```
5
Lattice="-2.451 -3.046 1.886 3.579 -3.483 -0.973 1.873 0.858 3.820" Properties=species:S:1:pos:R:3 pbc="T T T"
N 0.937 0.429 1.910
Ru 1.501 -2.835 2.366
N -1.225 -1.523 0.943
K 0.000 0.000 0.000
Ag 1.790 -1.741 -0.487
```